# 1
Computed, not measured: a relaxed Ta3PdAu crystal at the PBE-GGA level of DFT.

It has space group Pm-3m (No. 221), with a = 4.804 Å, b = 4.804 Å, c = 4.804 Å, α = 90.00°, β = 90.00° and γ = 90.00°. Symmetry generates all atoms from Ta at (0.000, 0.000, 0.500), Pd at (0.000, 0.000, 0.000) and Au at (0.500, 0.500, 0.500).

Its crystal system is cubic. Its relative energy among the computed polymorphs is 0 meV per atom.

---

# 2
Computed, not measured: a relaxed AlV12Si6 crystal at the PBE-GGA level of DFT.

It has space group R-3 (No. 148, hexagonal axes), with a = 8.9634 Å, b = 8.9634 Å, c = 10.9568 Å, α = 90.00°, β = 90.00° and γ = 120.00°. Symmetry generates all atoms from Al at (0.0000, 0.0000, 0.0000), V at (0.0542, 0.1900, 0.8074), V at (0.0645, 0.8396, 0.4161) and Si at (0.0229, 0.4345, 0.7100).

The value obtained for the formation energy (no corrections) is -289 meV per atom. Its crystal system is trigonal.

---

Copy entry 2 word for word.
Computed, not measured: a relaxed AlV12Si6 crystal at the PBE-GGA level of DFT.

It has space group R-3 (No. 148, hexagonal axes), with a = 8.9634 Å, b = 8.9634 Å, c = 10.9568 Å, α = 90.00°, β = 90.00° and γ = 120.00°. Symmetry generates all atoms from Al at (0.0000, 0.0000, 0.0000), V at (0.0542, 0.1900, 0.8074), V at (0.0645, 0.8396, 0.4161) and Si at (0.0229, 0.4345, 0.7100).

The value obtained for the formation energy (no corrections) is -289 meV per atom. Its crystal system is trigonal.